Material: Pm2Dy13
Method: DFT, PBE
State: relaxed

* DOS(E_F): 25.145 states/eV/f.u.
* mass density: 8.383 g/cm³
* volume: 476 Å³/cell
* calculated total energy: -68.33 eV/cell

abc: 6.627 8.946 8.952
angles: 65.54 81.78 81.64
Fractional coordinates of all 15 atoms:
1 Pm 0.111 0.275 0.420
2 Pm 0.889 0.725 0.580
3 Dy 0.000 0.500 0.000
4 Dy 0.096 0.944 0.757
5 Dy 0.203 0.705 0.195
6 Dy 0.297 0.136 0.965
7 Dy 0.297 0.471 0.629
8 Dy 0.403 0.901 0.397
9 Dy 0.486 0.668 0.837
10 Dy 0.514 0.332 0.163
11 Dy 0.597 0.099 0.603
12 Dy 0.703 0.529 0.371
13 Dy 0.703 0.864 0.035
14 Dy 0.797 0.295 0.805
15 Dy 0.904 0.056 0.243